No. 1
A relaxed structure of ScMnTeN2. Source: Alexandria via LeMat-Bulk, functional PBE-GGA.

crystal system: tetragonal
raw formation energy: 111 kJ per mole of atoms
final energy: -5.906 eV/atom
M_tot: 1.4 μB/cell

a b c (Å): 4.063 4.063 5.891
angles (deg): 90.00 90.00 90.00
Element x y z (fractional)
Sc1 0.000 0.000 0.000
Mn1 0.500 0.500 0.500
Te1 0.000 0.000 0.500
N1 0.000 0.500 0.000
N2 0.500 0.000 0.000



No. 2
A relaxed structure of Cu2AsSe. Source: Alexandria via LeMat-Bulk, functional PBE-GGA.

crystal system: monoclinic
raw formation energy: 8 kJ per mole of atoms
final energy: -4.000 eV/atom
M_tot: 0.0 μB/cell

a b c (Å): 3.668 3.545 5.119
angles (deg): 90.00 94.98 90.00
Element x y z (fractional)
Cu1 0.000 0.000 0.000
Cu2 0.500 0.500 0.500
As1 0.000 0.000 0.500
Se1 0.500 0.500 0.000



No. 3
A relaxed structure of Tl2Sb. Source: Alexandria via LeMat-Bulk, functional PBE-GGA.

crystal system: trigonal
raw formation energy: 3 kJ per mole of atoms
final energy: -2.924 eV/atom
M_tot: 0.0 μB/cell

a b c (Å): 5.512 5.512 3.494
angles (deg): 90.00 90.00 120.00
Element x y z (fractional)
Tl1 0.333 0.667 0.192
Tl2 0.667 0.333 0.808
Sb1 0.000 0.000 0.500



No. 4
A relaxed structure of Pm3NdSm2Er6. Source: Alexandria via LeMat-Bulk, functional PBE-GGA.

E_form: 0.014 eV per atom
crystal system: monoclinic
final energy: -4.639 eV/atom
M_tot: 0.0 μB/cell

a b c (Å): 6.209 6.209 11.747
angles (deg): 95.04 95.04 119.98
Element x y z (fractional)
Pm1 0.000 0.000 0.000
Pm2 0.333 0.667 0.000
Pm3 0.667 0.333 0.000
Nd1 0.500 0.500 0.500
Sm1 0.167 0.833 0.500
Sm2 0.833 0.167 0.500
Er1 0.083 0.417 0.250
Er2 0.250 0.250 0.750
Er3 0.417 0.083 0.250
Er4 0.583 0.917 0.750
Er5 0.750 0.750 0.250
Er6 0.917 0.583 0.750



No. 5
A relaxed structure of CdTePt. Source: Alexandria via LeMat-Bulk, functional PBE-GGA.

crystal system: trigonal
raw formation energy: -11 kJ per mole of atoms
final energy: -3.483 eV/atom
M_tot: 0.0 μB/cell

a b c (Å): 4.028 4.028 5.185
angles (deg): 90.00 90.00 120.00
Element x y z (fractional)
Cd1 0.000 0.000 0.000
Te1 0.333 0.667 0.558
Pt1 0.667 0.333 0.309



No. 6
A relaxed structure of CaCe2Tl. Source: Alexandria via LeMat-Bulk, functional PBE-GGA.

E_form: -0.046 eV per atom
crystal system: tetragonal
final energy: -4.105 eV/atom
M_tot: 2.3 μB/cell

a b c (Å): 4.725 4.725 5.268
angles (deg): 90.00 90.00 90.00
Element x y z (fractional)
Ca1 0.000 0.000 0.000
Ce1 0.000 0.500 0.500
Ce2 0.500 0.000 0.500
Tl1 0.500 0.500 0.000



No. 7
A relaxed structure of ZrSc2TcGe. Source: Alexandria via LeMat-Bulk, functional PBE-GGA.

E_form: 0.602 eV per atom
crystal system: tetragonal
final energy: -6.637 eV/atom
M_tot: 0.0 μB/cell

a b c (Å): 4.872 4.872 5.034
angles (deg): 90.00 90.00 90.00
Element x y z (fractional)
Zr1 0.000 0.000 0.000
Sc1 0.000 0.500 0.500
Sc2 0.500 0.000 0.500
Tc1 0.500 0.500 0.000
Ge1 0.000 0.000 0.500



No. 8
A relaxed structure of Nd5Os2I2. Source: Alexandria via LeMat-Bulk, functional PBE-GGA.

crystal system: orthorhombic
raw formation energy: -48 kJ per mole of atoms
final energy: -5.983 eV/atom
M_tot: 0.0 μB/cell

a b c (Å): 9.435 9.435 8.105
angles (deg): 90.00 90.00 50.88
Element x y z (fractional)
Nd1 0.000 0.000 0.000
Nd2 0.051 0.740 0.655
Nd3 0.240 0.551 0.155
Nd4 0.260 0.949 0.655
Nd5 0.449 0.760 0.155
Nd6 0.500 0.500 0.500
Nd7 0.551 0.240 0.845
Nd8 0.740 0.051 0.345
Nd9 0.760 0.449 0.845
Nd10 0.949 0.260 0.345
Os1 0.141 0.859 0.359
Os2 0.359 0.641 0.859
Os3 0.641 0.359 0.141
Os4 0.859 0.141 0.641
I1 0.214 0.214 0.000
I2 0.286 0.286 0.500
I3 0.714 0.714 0.500
I4 0.786 0.786 0.000



No. 9
A relaxed structure of AcEr2Te5. Source: Alexandria via LeMat-Bulk, functional PBE-GGA.

crystal system: tetragonal
raw formation energy: -124 kJ per mole of atoms
final energy: -4.903 eV/atom
M_tot: 0.0 μB/cell

a b c (Å): 9.270 9.270 9.270
angles (deg): 126.97 126.97 78.30
Element x y z (fractional)
Ac1 0.250 0.250 0.000
Ac2 0.750 0.750 0.000
Er1 0.152 0.652 0.804
Er2 0.348 0.152 0.500
Er3 0.652 0.848 0.500
Er4 0.848 0.348 0.196
Te1 0.000 0.000 0.000
Te2 0.011 0.203 0.500
Te3 0.203 0.703 0.192
Te4 0.297 0.489 0.500
Te5 0.489 0.989 0.192
Te6 0.500 0.500 0.000
Te7 0.511 0.011 0.808
Te8 0.703 0.511 0.500
Te9 0.797 0.297 0.808
Te10 0.989 0.797 0.500



No. 10
A relaxed structure of SrMn2Co. Source: Alexandria via LeMat-Bulk, functional PBE-GGA.

E_form: 0.788 eV per atom
crystal system: tetragonal
final energy: -5.994 eV/atom
M_tot: 9.0 μB/cell

a b c (Å): 5.032 5.032 5.032
angles (deg): 129.41 129.41 74.34
Element x y z (fractional)
Sr1 0.000 0.000 0.000
Mn1 0.250 0.750 0.500
Mn2 0.750 0.250 0.500
Co1 0.500 0.500 0.000



No. 11
A relaxed structure of Ti2SbPd7. Source: Alexandria via LeMat-Bulk, functional PBE-GGA.

crystal system: orthorhombic
raw formation energy: 0 kJ per mole of atoms
final energy: -5.627 eV/atom
M_tot: 0.0 μB/cell

a b c (Å): 7.377 7.377 4.299
angles (deg): 90.00 90.00 121.47
Element x y z (fractional)
Ti1 0.195 0.805 0.000
Ti2 0.805 0.195 0.000
Sb1 0.500 0.500 0.500
Pd1 0.000 0.000 0.000
Pd2 0.198 0.427 0.000
Pd3 0.290 0.710 0.500
Pd4 0.427 0.198 0.000
Pd5 0.573 0.802 0.000
Pd6 0.710 0.290 0.500
Pd7 0.802 0.573 0.000



No. 12
A relaxed structure of SrLiTb2Hg4. Source: Alexandria via LeMat-Bulk, functional PBE-GGA.

E_form: -0.432 eV per atom
crystal system: trigonal
final energy: -2.190 eV/atom
M_tot: 0.0 μB/cell

a b c (Å): 9.531 9.531 9.531
angles (deg): 31.53 31.53 31.53
Element x y z (fractional)
Sr1 0.000 0.000 0.000
Li1 0.500 0.500 0.500
Tb1 0.240 0.240 0.240
Tb2 0.760 0.760 0.760
Hg1 0.127 0.127 0.127
Hg2 0.392 0.392 0.392
Hg3 0.608 0.608 0.608
Hg4 0.873 0.873 0.873